No. 1
First-principles (GGA-PBE) data for an optimized crystal structure of TaMoBr2, as listed in the Alexandria database.

Computed properties:
- E_tot (eV per cell) = -44.0
- E_form (uncorrected) (eV/atom) = 1.0084
- crystal system = tetragonal
- ΔE to the lowest computed polymorph (kJ/mol of formula units) = 439

Structure (CIF):
```
data_TaMoBr2
_chemical_formula_sum 'Ta2 Mo2 Br4'
_symmetry_space_group_name_H-M 'I -4 m 2'
_symmetry_Int_Tables_number 119
_symmetry_space_group_name_Hall 'I -4 -2'
_cell_length_a 4.294
_cell_length_b 4.294
_cell_length_c 8.195
_cell_angle_alpha 90.00
_cell_angle_beta 90.00
_cell_angle_gamma 90.00
loop_
_atom_site_label
_atom_site_type_symbol
_atom_site_fract_x
_atom_site_fract_y
_atom_site_fract_z
Ta1 Ta 0.000 0.000 0.000
Mo1 Mo 0.000 0.500 0.250
Br1 Br 0.000 0.000 0.500
Br2 Br 0.000 0.500 0.750
```

=====

No. 2
First-principles (GGA-PBE) data for an optimized crystal structure of TaMoBr2, as listed in the Alexandria database.

Computed properties:
- E_tot (eV per cell) = -50.9
- E_form (uncorrected) (eV/atom) = 0.1507
- crystal system = orthorhombic
- ΔE to the lowest computed polymorph (kJ/mol of formula units) = 108

Structure (CIF):
```
data_TaMoBr2
_chemical_formula_sum 'Ta2 Mo2 Br4'
_symmetry_space_group_name_H-M 'C m m 2'
_symmetry_Int_Tables_number 35
_symmetry_space_group_name_Hall 'C 2 -2'
_cell_length_a 3.405
_cell_length_b 5.490
_cell_length_c 10.047
_cell_angle_alpha 90.00
_cell_angle_beta 90.00
_cell_angle_gamma 90.00
loop_
_atom_site_label
_atom_site_type_symbol
_atom_site_fract_x
_atom_site_fract_y
_atom_site_fract_z
Ta1 Ta 0.000 0.000 0.000
Mo1 Mo 0.000 0.500 0.193
Br1 Br 0.000 0.000 0.403
Br2 Br 0.000 0.500 0.787
```

=====

No. 3
First-principles (GGA-PBE) data for an optimized crystal structure of TaMo2Br, as listed in the Alexandria database.

Computed properties:
- E_tot (eV per cell) = -63.1
- E_form (uncorrected) (eV/atom) = 0.9086
- crystal system = tetragonal
- ΔE to the lowest computed polymorph (kJ/mol of formula units) = 213

Structure (CIF):
```
data_TaMo2Br
_chemical_formula_sum 'Ta2 Mo4 Br2'
_symmetry_space_group_name_H-M 'I -4 m 2'
_symmetry_Int_Tables_number 119
_symmetry_space_group_name_Hall 'I -4 -2'
_cell_length_a 3.822
_cell_length_b 3.822
_cell_length_c 9.375
_cell_angle_alpha 90.00
_cell_angle_beta 90.00
_cell_angle_gamma 90.00
loop_
_atom_site_label
_atom_site_type_symbol
_atom_site_fract_x
_atom_site_fract_y
_atom_site_fract_z
Ta1 Ta 0.000 0.000 0.000
Mo1 Mo 0.000 0.000 0.500
Mo2 Mo 0.000 0.500 0.250
Br1 Br 0.000 0.500 0.750
```

=====

No. 4
First-principles (GGA-PBE) data for an optimized crystal structure of TaMo2Br, as listed in the Alexandria database.

Computed properties:
- E_tot (eV per cell) = -100.9
- E_form (uncorrected) (eV/atom) = 0.3860
- crystal system = trigonal
- ΔE to the lowest computed polymorph (kJ/mol of formula units) = 12

Structure (CIF):
```
data_TaMo2Br
_chemical_formula_sum 'Ta3 Mo6 Br3'
_symmetry_space_group_name_H-M 'R 3 m'
_symmetry_Int_Tables_number 160
_symmetry_space_group_name_Hall 'R 3 -2"'
_cell_length_a 3.1170
_cell_length_b 3.1170
_cell_length_c 26.3947
_cell_angle_alpha 90.00
_cell_angle_beta 90.00
_cell_angle_gamma 120.00
loop_
_atom_site_label
_atom_site_type_symbol
_atom_site_fract_x
_atom_site_fract_y
_atom_site_fract_z
Ta1 Ta 0.0000 0.0000 0.0000
Mo1 Mo 0.0000 0.0000 0.2475
Mo2 Mo 0.0000 0.0000 0.5125
Br1 Br 0.0000 0.0000 0.7431
```

=====

No. 5
First-principles (GGA-PBE) data for an optimized crystal structure of TaMo2Br, as listed in the Alexandria database.

Computed properties:
- E_tot (eV per cell) = -33.0
- E_form (uncorrected) (eV/atom) = 0.5465
- crystal system = monoclinic
- ΔE to the lowest computed polymorph (kJ/mol of formula units) = 74

Structure (CIF):
```
data_TaMo2Br
_chemical_formula_sum 'Ta1 Mo2 Br1'
_symmetry_space_group_name_H-M 'P 1 m 1'
_symmetry_Int_Tables_number 6
_symmetry_space_group_name_Hall 'P -2y'
_cell_length_a 2.970
_cell_length_b 4.471
_cell_length_c 5.337
_cell_angle_alpha 90.00
_cell_angle_beta 101.63
_cell_angle_gamma 90.00
loop_
_atom_site_label
_atom_site_type_symbol
_atom_site_fract_x
_atom_site_fract_y
_atom_site_fract_z
Ta1 Ta 0.000 0.000 0.000
Mo1 Mo 0.275 0.500 0.763
Mo2 Mo 0.560 0.000 0.529
Br1 Br 0.521 0.500 0.253
```

=====

No. 6
First-principles (GGA-PBE) data for an optimized crystal structure of TaMoBr2, as listed in the Alexandria database.

Computed properties:
- E_tot (eV per cell) = -51.0
- E_form (uncorrected) (eV/atom) = 0.1374
- crystal system = monoclinic
- ΔE to the lowest computed polymorph (kJ/mol of formula units) = 102

Structure (CIF):
```
data_TaMoBr2
_chemical_formula_sum 'Ta2 Mo2 Br4'
_symmetry_space_group_name_H-M 'C 1 2/m 1'
_symmetry_Int_Tables_number 12
_symmetry_space_group_name_Hall '-C 2y'
_cell_length_a 14.967
_cell_length_b 3.229
_cell_length_c 4.362
_cell_angle_alpha 90.00
_cell_angle_beta 96.46
_cell_angle_gamma 90.00
loop_
_atom_site_label
_atom_site_type_symbol
_atom_site_fract_x
_atom_site_fract_y
_atom_site_fract_z
Ta1 Ta 0.000 0.000 0.000
Mo1 Mo 0.000 0.500 0.500
Br1 Br 0.143 0.500 0.212
```

=====

No. 7
First-principles (GGA-PBE) data for an optimized crystal structure of TaMo2Br, as listed in the Alexandria database.

Computed properties:
- E_tot (eV per cell) = -33.8
- E_form (uncorrected) (eV/atom) = 0.3557
- crystal system = tetragonal
- ΔE to the lowest computed polymorph (kJ/mol of formula units) = 0

Structure (CIF):
```
data_TaMo2Br
_chemical_formula_sum 'Ta1 Mo2 Br1'
_symmetry_space_group_name_H-M 'P 4 m m'
_symmetry_Int_Tables_number 99
_symmetry_space_group_name_Hall 'P 4 -2'
_cell_length_a 3.132
_cell_length_b 3.132
_cell_length_c 7.358
_cell_angle_alpha 90.00
_cell_angle_beta 90.00
_cell_angle_gamma 90.00
loop_
_atom_site_label
_atom_site_type_symbol
_atom_site_fract_x
_atom_site_fract_y
_atom_site_fract_z
Ta1 Ta 0.000 0.000 0.000
Mo1 Mo 0.000 0.000 0.571
Mo2 Mo 0.500 0.500 0.768
Br1 Br 0.500 0.500 0.273
```

=====

No. 8
First-principles (GGA-PBE) data for an optimized crystal structure of Ta2MoBr, as listed in the Alexandria database.

Computed properties:
- E_tot (eV per cell) = -130.1
- E_form (uncorrected) (eV/atom) = 0.9235
- crystal system = cubic
- ΔE to the lowest computed polymorph (kJ/mol of formula units) = 251

Structure (CIF):
```
data_Ta2MoBr
_chemical_formula_sum 'Ta8 Mo4 Br4'
_symmetry_space_group_name_H-M 'F -4 3 m'
_symmetry_Int_Tables_number 216
_symmetry_space_group_name_Hall 'F -4 2 3'
_cell_length_a 6.594
_cell_length_b 6.594
_cell_length_c 6.594
_cell_angle_alpha 90.00
_cell_angle_beta 90.00
_cell_angle_gamma 90.00
loop_
_atom_site_label
_atom_site_type_symbol
_atom_site_fract_x
_atom_site_fract_y
_atom_site_fract_z
Ta1 Ta 0.000 0.000 0.000
Ta2 Ta 0.250 0.250 0.250
Mo1 Mo 0.000 0.000 0.500
Br1 Br 0.250 0.250 0.750
```

=====

No. 9
First-principles (GGA-PBE) data for an optimized crystal structure of TaMoBr2, as listed in the Alexandria database.

Computed properties:
- E_tot (eV per cell) = -48.3
- E_form (uncorrected) (eV/atom) = 0.4702
- crystal system = orthorhombic
- ΔE to the lowest computed polymorph (kJ/mol of formula units) = 231

Structure (CIF):
```
data_TaMoBr2
_chemical_formula_sum 'Ta2 Mo2 Br4'
_symmetry_space_group_name_H-M 'I m m 2'
_symmetry_Int_Tables_number 44
_symmetry_space_group_name_Hall 'I 2 -2'
_cell_length_a 3.256
_cell_length_b 4.564
_cell_length_c 12.490
_cell_angle_alpha 90.00
_cell_angle_beta 90.00
_cell_angle_gamma 90.00
loop_
_atom_site_label
_atom_site_type_symbol
_atom_site_fract_x
_atom_site_fract_y
_atom_site_fract_z
Ta1 Ta 0.000 0.000 0.000
Mo1 Mo 0.000 0.500 0.352
Br1 Br 0.000 0.000 0.619
Br2 Br 0.000 0.500 0.860
```

=====

No. 10
First-principles (GGA-PBE) data for an optimized crystal structure of TaTc2MoBr, as listed in the Alexandria database.

Computed properties:
- E_tot (eV per cell) = -36.0
- E_form (uncorrected) (eV/atom) = 1.8260
- crystal system = tetragonal

Structure (CIF):
```
data_TaTc2MoBr
_chemical_formula_sum 'Ta1 Tc2 Mo1 Br1'
_symmetry_space_group_name_H-M 'P 4/m m m'
_symmetry_Int_Tables_number 123
_symmetry_space_group_name_Hall '-P 4 2'
_cell_length_a 4.683
_cell_length_b 4.683
_cell_length_c 4.718
_cell_angle_alpha 90.00
_cell_angle_beta 90.00
_cell_angle_gamma 90.00
loop_
_atom_site_label
_atom_site_type_symbol
_atom_site_fract_x
_atom_site_fract_y
_atom_site_fract_z
Ta1 Ta 0.000 0.000 0.000
Tc1 Tc 0.000 0.500 0.500
Mo1 Mo 0.500 0.500 0.500
Br1 Br 0.500 0.500 0.000
```